(1)
Here is an optimized crystal structure of LiTaMo2 from Alexandria via LeMat-Bulk. Energies are from GGA-PBE.

ΔE to the lowest computed polymorph	129	meV per atom

a b c (Å): 2.6050 4.4770 5.5392
angles (deg): 90.00 90.00 90.00
Closest atoms and distances in Å follow each position.
Fractional positions:
Li (0.0000, 0.0000, 0.0000)  2 Li 2.60, 2 Ta 2.77
Ta (0.0000, 0.0000, 0.5000)  2 Ta 2.60, 2 Li 2.77
Mo (0.5000, 0.5000, 0.2442)  4 Mo 2.60-2.83
Mo (0.5000, 0.5000, 0.7558)  4 Mo 2.60-2.83

***

(2)
Here is an optimized crystal structure of LiTaMo2 from Alexandria via LeMat-Bulk. Energies are from GGA-PBE.

ΔE to the lowest computed polymorph	117	meV per atom

a b c (Å): 5.1459 5.1459 5.1459
angles (deg): 142.70 128.08 65.66
Closest atoms and distances in Å follow each position.
Fractional positions:
Li (0.0000, 0.0000, 0.0000)  6 Mo 2.76-2.79, 4 Ta 2.83-3.03
Ta (0.7343, 0.2343, 0.5000)  6 Mo 2.73-2.80, 4 Li 2.83-3.03
Mo (0.2558, 0.7558, 0.5000)  2 Mo 2.56, 2 Li 2.76, 4 Ta 2.80
Mo (0.4824, 0.4824, 0.0000)  2 Mo 2.56, 2 Ta 2.73, 4 Li 2.79

***

(3)
Here is an optimized crystal structure of LiTa2Mo from Alexandria via LeMat-Bulk. Energies are from GGA-PBE.

ΔE to the lowest computed polymorph	193	meV per atom

a b c (Å): 4.5919 4.5919 4.5919
angles (deg): 122.29 122.29 86.07
Closest atoms and distances in Å follow each position.
Fractional positions:
Li (0.0000, 0.0000, 0.0000)  4 Ta 2.78, 4 Mo 2.78
Ta (0.5000, 0.5000, 0.0000)  4 Ta 2.78, 4 Mo 2.78
Ta (0.7500, 0.2500, 0.5000)  4 Ta 2.78, 4 Li 2.78
Mo (0.2500, 0.7500, 0.5000)  4 Ta 2.78, 4 Li 2.78

***

(4)
Here is an optimized crystal structure of LiTa2Mo from Alexandria via LeMat-Bulk. Energies are from GGA-PBE.

ΔE to the lowest computed polymorph	201	meV per atom

a b c (Å): 10.3848 10.3848 10.3848
angles (deg): 15.63 15.63 15.63
Closest atoms and distances in Å follow each position.
Fractional positions:
Li (0.0000, 0.0000, 0.0000)  6 Li 2.82, 6 Ta 3.08
Ta (0.2483, 0.2483, 0.2483)  6 Ta 2.82, 3 Mo 3.00, 3 Li 3.08
Ta (0.7517, 0.7517, 0.7517)  6 Ta 2.82, 3 Mo 3.00, 3 Li 3.08
Mo (0.5000, 0.5000, 0.5000)  6 Mo 2.82, 6 Ta 3.00

***

What is the formula in the fourth record?
LiTa2Mo